# SrCr2Re

A relaxed structure of SrCr2Re (GGA-PBE, Alexandria via LeMat-Bulk).

Energy relative to the lowest polymorph listed for this composition (eV per atom): 0.3202
Fermi-level density of states (states/eV per cell): 15.15

Lattice parameters (Å, degrees): 2.9365 2.9365 27.2775 90.00 90.00 120.00
Space group R3m (No. 160, hexagonal axes)
One atom of each set of equivalent atoms:
Sr (0.0000, 0.0000, 0.0000)
Cr (0.0000, 0.0000, 0.4944)
Cr (0.0000, 0.0000, 0.7694)
Re (0.0000, 0.0000, 0.2319)